1.
Here is Tb3Dy4Th4 after structural relaxation from the Alexandria database. Energies are from PBE.

Properties
**ρ**: 9.35 g cm⁻³
**Formation energy from the elements**: 2.4 eV per formula unit

Geometry as extended XYZ:
```
11
Lattice="3.469 0.000 -0.639 -0.847 8.165 -4.596 0.418 1.381 12.005" Properties=species:S:1:pos:R:3 pbc="T T T"
Dy 1.384 2.471 7.511
Dy 1.087 5.334 5.899
Dy 1.954 4.211 0.870
Dy 1.657 7.075 -0.742
Th 2.565 2.623 4.188
Th 0.476 6.923 2.582
Th 1.044 6.656 -4.066
Th 1.578 1.509 -1.169
Tb 0.385 1.218 2.093
Tb 2.655 8.328 4.677
Tb -0.423 4.082 -2.298
```

***

2.
Here is Tb3Dy3Th after structural relaxation from the Alexandria database. Energies are from PBE.

Properties
**ρ**: 8.80 g cm⁻³
**Formation energy from the elements**: 0.2 eV per formula unit
**Polymorph energy (0 for the lowest one)**: 0 meV/atom

Geometry as extended XYZ:
```
14
Lattice="-0.628 5.628 0.642 -8.645 -0.501 -4.063 0.898 -0.980 9.470" Properties=species:S:1:pos:R:3 pbc="T T T"
Tb -1.244 3.200 8.675
Tb -7.131 0.947 -2.626
Tb -2.078 1.102 0.955
Tb -7.651 0.190 3.499
Tb -6.297 3.045 5.094
Tb -0.724 3.957 2.550
Dy -0.548 0.889 4.316
Dy -2.667 0.328 7.169
Dy -5.708 3.819 -1.120
Dy -4.103 0.543 3.877
Dy -7.827 3.258 1.733
Dy -4.272 3.604 2.172
Th -2.754 3.401 5.440
Th -5.621 0.746 0.609
```